# 1
SrLiYCd | the Alexandria database | PBE-GGA | relaxed; E = -2.826 eV/atom
1.0
5.510 0.000 0.000
2.755 4.772 0.000
2.755 1.591 4.499
Y Sr Li Cd
1 1 1 1
Direct
0.750 0.750 0.750
0.250 0.250 0.250
0.500 0.500 0.500
0.000 0.000 0.000

# 2
Y3PbO | the Alexandria database | PBE-GGA | relaxed; uncorrected formation energy = 0.059 eV per atom
1.0
-1.370 -4.901 -1.452
4.308 -1.917 2.404
-4.707 -4.665 10.541
Pb Y O
2 6 2
Direct
0.000 0.000 0.000
0.250 0.750 0.500
0.636 0.876 0.248
0.124 0.364 0.752
0.124 0.884 0.752
0.116 0.876 0.248
0.310 0.310 0.380
0.690 0.690 0.620
0.656 0.156 0.688
0.844 0.344 0.312

# 3
Tb2HoEr6Tm3 | the Alexandria database | PBE-GGA | relaxed; E = -4.530 eV/atom
1.0
6.067 0.003 0.005
-3.030 5.257 0.005
-1.018 -1.763 11.433
Tb Ho Er Tm
2 1 6 3
Direct
0.333 0.667 0.000
0.667 0.333 0.000
0.000 0.000 0.000
0.916 0.582 0.748
0.751 0.751 0.252
0.084 0.418 0.252
0.582 0.916 0.748
0.249 0.249 0.748
0.418 0.084 0.252
0.167 0.833 0.500
0.833 0.167 0.500
0.500 0.500 0.500

# 4
LiBeAgHg2 | the Alexandria database | PBE-GGA | relaxed; E = -1.385 eV/atom
1.0
5.347 0.000 0.000
0.000 4.464 0.000
0.000 0.000 5.347
Be Hg Ag Li
1 2 1 1
Direct
0.000 0.500 0.000
0.000 0.000 0.500
0.500 0.000 0.000
0.000 0.000 0.000
0.500 0.500 0.500

# 5
CsMoH3 | the Alexandria database | PBE-GGA | relaxed; E = -2.351 eV/atom
1.0
4.575 0.000 0.000
0.000 4.575 0.000
0.000 0.000 4.575
Cs H Mo
1 3 1
Direct
0.000 0.000 0.000
0.000 0.500 0.000
0.000 0.000 0.500
0.500 0.000 0.000
0.500 0.500 0.500

# 6
Sm2Er7Tm2 | the Alexandria database | PBE-GGA | relaxed; energy above the most stable polymorph in this dataset = 0.000 eV/atom
1.0
-6.095 -0.320 5.110
-6.377 -7.953 1.324
4.299 3.556 5.678
Sm Er Tm
2 7 2
Direct
0.214 0.696 0.786
0.786 0.304 0.214
0.232 0.680 0.243
0.757 0.680 0.768
0.648 0.080 0.352
0.000 0.500 0.000
0.352 0.920 0.648
0.768 0.320 0.757
0.243 0.320 0.232
0.714 0.000 0.714
0.286 0.000 0.286